# UMoH2O6 GGA+U optimized geometry
data_UMoH2O6
_symmetry_space_group_name_H-M 'P 1'
_symmetry_Int_Tables_number 1
_cell_length_a 5.0614
_cell_length_b 5.2219
_cell_length_c 5.6772
_cell_angle_alpha 65.96
_cell_angle_beta 64.94
_cell_angle_gamma 64.87
loop_
_symmetry_equiv_pos_as_xyz
'x,y,z'
loop_
_atom_site_label
_atom_site_type_symbol
_atom_site_fract_x
_atom_site_fract_y
_atom_site_fract_z
U1 U 0.0000 0.0000 0.0000
Mo1 Mo 0.5340 0.4674 0.5011
H1 H 0.2050 0.4046 0.2755
H2 H 0.9465 0.6545 0.7498
O1 O 0.1154 0.7211 0.7240
O2 O 0.2729 0.5672 0.2523
O3 O 0.3698 0.1049 0.7558
O4 O 0.6543 0.8538 0.2346
O5 O 0.7490 0.3781 0.7555
O6 O 0.8958 0.2492 0.2560
# Calculated total energy: -7.482 eV per atom
# Calculated density: 6067 kg/m3
# Volume: 118 Å³/f.u.